Ca3Co2Rh2O12: optimized geometry, PBE+U.

Output
Space group: P1
E, eV/cell: -115.0
M_tot, μB/f.u.: 5.976

```
Ca3Co2Rh2O12
1.0
6.421 0.000 0.000
1.684 6.396 0.000
0.228 -0.046 6.771
Ca Co Rh O
3 2 2 12
Cartesian
0.000 0.000 0.000
2.830 3.862 3.969
3.959 2.108 1.324
1.300 2.710 0.258
4.720 0.092 3.717
2.772 0.988 5.394
6.423 4.334 1.899
0.969 1.911 5.477
1.981 3.714 1.749
2.063 0.971 0.564
3.535 5.807 4.997
3.191 2.871 6.063
3.542 1.509 3.567
4.659 4.195 2.353
4.693 0.396 5.505
6.680 6.344 1.913
6.291 2.348 1.366
7.039 4.774 3.757
6.832 4.383 0.048
```